# 1
VASP calculation (PBE) on TlCdF3 after structural relaxation.

Cell: 4.9634 4.9634 8.8793 Å, 73.77 73.77 90.00°
Closest atoms and distances in Å follow each position.
Element x y z (fractional)
1 Tl 0.0000 0.0000 0.0000  4 F 2.58
2 Tl 0.2500 0.7500 0.5000  4 F 2.20
3 F 0.1072 0.8609 0.2783  1 Tl 2.20, 1 F 2.45
4 F 0.1391 0.8928 0.7217  1 Tl 2.20, 1 F 2.45
5 F 0.1391 0.3855 0.7217  1 Tl 2.20, 1 F 2.45
6 F 0.6145 0.8609 0.2783  1 Tl 2.20, 1 F 2.45
7 F 0.3029 0.3029 0.3942  2 Cd 2.53, 2 Tl 2.63
8 F 0.6971 0.6971 0.6058  2 Cd 2.53, 2 Tl 2.63
9 Cd 0.6661 0.1661 0.6679  6 F 2.53-2.80, 1 Cd 2.74
10 Cd 0.8339 0.3339 0.3321  6 F 2.53-2.80, 1 Cd 2.74

## Properties
Calculated density = 6.18 Mg/m³
Raw formation energy = -685 kJ/mol of formula units
V = 20.09 Å³/atom
SG = I-4m2
Uncorrected energy = -3.200 eV/atom

=====

# 2
VASP calculation (PBE) on SrTlCu2F8 after structural relaxation.

Cell: 5.5794 5.5794 6.8044 Å, 114.20 114.20 90.00°
Closest atoms and distances in Å follow each position.
Element x y z (fractional)
1 Sr 0.0000 0.0000 0.0000  8 F 2.46-2.57
2 Tl 0.7500 0.2500 0.5000  8 F 2.31-2.40
3 Cu 0.5000 0.5000 0.0000  4 F 1.98
4 Cu 0.2500 0.7500 0.5000  4 F 1.98
5 F 0.7152 0.8648 0.1486  1 Cu 1.98
6 F 0.4333 0.2837 0.1486  1 Cu 1.98
7 F 0.5983 0.6439 0.6298  1 Cu 1.98
8 F 0.0315 0.9859 0.6298  1 Cu 1.98
9 F 0.0141 0.4017 0.3702  1 Cu 1.98
10 F 0.3561 0.9685 0.3702  1 Cu 1.98
11 F 0.1352 0.5667 0.8514  1 Cu 1.98
12 F 0.7163 0.2848 0.8514  1 Cu 1.98

## Properties
Calculated density = 5.49 Mg/m³
Raw formation energy = -2490 kJ/mol of formula units
V = 14.38 Å³/atom
SG = I-4
Uncorrected energy = -4.419 eV/atom